Below is a geometry-optimized K2Sn2Au structure, with properties calculated at the PBE level. Values from VASP.

Geometry as Quantum ESPRESSO input:
```
&SYSTEM
  ibrav = 0, nat = 10, ntyp = 3
/
ATOMIC_SPECIES
K 39.10 K.upf
Sn 118.71 Sn.upf
Au 196.97 Au.upf
CELL_PARAMETERS angstrom
7.328 0.000 0.000
0.000 7.328 0.000
0.000 0.000 5.899
ATOMIC_POSITIONS crystal
K 0.177 0.323 0.000
K 0.323 0.823 0.000
K 0.677 0.177 0.000
K 0.823 0.677 0.000
Sn 0.140 0.640 0.500
Sn 0.360 0.140 0.500
Sn 0.640 0.860 0.500
Sn 0.860 0.360 0.500
Au 0.000 0.000 0.500
Au 0.500 0.500 0.500
```

Excess energy over the best structure of this formula in the dataset in eV per atom: 0.000
DOS at the Fermi energy in states/eV per atom: 0.61
Total magnetization in μB per cell: 0.0
Symmetry: P4/mbm
ρ in kg/m3: 5374



Below is a geometry-optimized K2SnAu structure, with properties calculated at the PBE level. Values from VASP.

Geometry as Quantum ESPRESSO input:
```
&SYSTEM
  ibrav = 0, nat = 4, ntyp = 3
/
ATOMIC_SPECIES
K 39.10 K.upf
Sn 118.71 Sn.upf
Au 196.97 Au.upf
CELL_PARAMETERS angstrom
5.618 -3.260 0.000
5.618 3.260 0.000
-2.077 0.000 4.373
ATOMIC_POSITIONS crystal
K 0.189 0.189 0.189
K 0.811 0.811 0.811
Sn 0.491 0.509 0.000
Au 0.318 0.682 0.500
```

Electronic total energy in eV/atom: -2.6187
DOS at the Fermi energy in states/eV per atom: 0.81
Total magnetization in μB per cell: 0.0
Symmetry: C2
ρ in kg/m3: 4084